1.
Nd4Cd2Co, relaxed, DFT GGA-PBE; density of states at the Fermi level = 9.1 states/eV per cell; magnetization = 0.000 μB/f.u.; E_form = -0.38 eV/f.u.
1.0
5.226 0.000 0.000
0.000 5.226 0.000
2.613 2.613 7.999
Co Nd Cd
1 4 2
Cartesian
0.000 0.000 0.000 Co
5.226 5.226 2.804 Nd
2.613 2.613 5.195 Nd
0.000 2.613 0.000 Nd
2.613 0.000 0.000 Nd
5.226 5.226 5.924 Cd
2.613 2.613 2.075 Cd



2.
Nd6CdCo, relaxed, DFT GGA-PBE; density of states at the Fermi level = 11.3 states/eV per cell; magnetization = 0.000 μB/f.u.; E_form = 0.24 eV/f.u.
1.0
6.406 0.345 0.000
1.783 7.810 0.000
0.891 3.905 5.223
Nd Cd Co
6 1 1
Cartesian
6.564 7.154 3.221 Nd
5.672 3.249 2.003 Nd
3.408 8.811 3.221 Nd
2.516 4.906 2.003 Nd
5.436 6.274 0.000 Nd
2.753 1.881 0.000 Nd
0.000 0.000 0.000 Cd
4.094 4.078 0.000 Co



3.
NdCdCo, relaxed, DFT GGA-PBE; density of states at the Fermi level = 6.8 states/eV per cell; magnetization = 0.582 μB/f.u.; E_form = -0.26 eV/f.u.
1.0
3.995 0.000 0.000
0.000 5.285 0.067
0.000 -1.081 6.425
Cd Co Nd
2 2 2
Cartesian
0.999 0.204 1.061 Cd
2.996 4.000 5.432 Cd
0.999 4.215 3.493 Co
2.996 -0.011 2.999 Co
0.999 1.459 4.703 Nd
2.996 2.745 1.790 Nd



4.
Nd12Cd6Co, relaxed, DFT GGA-PBE; density of states at the Fermi level = 25.1 states/eV per cell; magnetization = 0.000 μB/f.u.; E_form = -1.64 eV/f.u.
1.0
8.460 0.280 0.336
-1.005 8.404 0.336
-1.005 -1.171 8.329
Nd Cd Co
12 6 1
Cartesian
5.727 4.505 4.313 Nd
2.531 6.182 5.203 Nd
3.585 3.110 7.012 Nd
0.722 3.008 4.688 Nd
3.918 1.332 3.798 Nd
2.864 4.403 1.989 Nd
7.879 0.640 2.956 Nd
7.010 6.014 0.714 Nd
4.881 -0.698 7.842 Nd
-1.430 6.873 6.044 Nd
-0.561 1.500 8.287 Nd
1.567 8.212 1.158 Nd
4.428 7.074 2.675 Cd
5.768 2.929 1.563 Cd
0.128 5.855 3.161 Cd
2.020 0.439 6.326 Cd
0.681 4.585 7.438 Cd
6.321 1.658 5.840 Cd
0.000 0.000 0.000 Co



5.
Nd2CdCo, relaxed, DFT GGA-PBE; energy above the lowest structure with this stoichiometry = 0.47 eV per formula unit; density of states at the Fermi level = 2.7 states/eV per cell; magnetization = 0.000 μB/f.u.; E_form = -0.28 eV/f.u.
1.0
3.981 0.000 0.000
1.991 3.448 0.000
1.991 1.149 8.086
Nd Cd Co
2 1 1
Cartesian
1.991 1.149 6.560 Nd
1.991 1.149 1.517 Nd
3.981 2.299 4.033 Cd
3.981 2.299 0.018 Co



6.
Nd2CdCo2, relaxed, DFT GGA-PBE; density of states at the Fermi level = 4.3 states/eV per cell; magnetization = 1.688 μB/f.u.; E_form = -0.93 eV/f.u.
1.0
4.087 0.000 0.000
0.000 3.926 0.000
0.000 -1.963 7.007
Nd Cd Co
2 1 2
Cartesian
2.044 1.963 1.898 Nd
2.044 0.000 5.109 Nd
0.000 0.000 0.000 Cd
0.000 0.000 2.953 Co
0.000 1.963 4.053 Co



7.
Nd4Cd5Co2, relaxed, DFT GGA-PBE; density of states at the Fermi level = 7.5 states/eV per cell; magnetization = 0.000 μB/f.u.; E_form = -2.44 eV/f.u.
1.0
3.709 0.000 0.000
0.000 7.763 -0.002
0.000 -0.753 9.536
Nd Cd Co
4 5 2
Cartesian
1.854 5.670 5.287 Nd
1.854 0.676 8.021 Nd
1.854 1.340 4.248 Nd
1.854 6.335 1.514 Nd
0.000 4.025 3.089 Cd
0.000 1.304 1.443 Cd
0.000 3.882 -0.001 Cd
0.000 5.707 8.091 Cd
0.000 2.985 6.445 Cd
0.000 0.064 6.051 Co
0.000 6.946 3.483 Co



8.
Nd2CdCo, relaxed, DFT GGA-PBE; energy above the lowest structure with this stoichiometry = 1.20 eV per formula unit; density of states at the Fermi level = 2.6 states/eV per cell; magnetization = 0.000 μB/f.u.; E_form = 0.44 eV/f.u.
1.0
-2.220 -3.143 -0.627
0.116 -2.997 2.491
-7.998 2.053 5.895
Co Nd Cd
1 2 1
Cartesian
-5.051 -2.043 3.879 Co
-5.469 0.632 4.067 Nd
-4.633 -4.719 3.692 Nd
0.000 0.000 0.000 Cd



9.
Nd2CdCo, relaxed, DFT GGA-PBE; energy above the lowest structure with this stoichiometry = 0.58 eV per formula unit; density of states at the Fermi level = 3.0 states/eV per cell; magnetization = 0.632 μB/f.u.; E_form = -0.18 eV/f.u.
1.0
5.213 0.000 0.000
2.606 4.515 0.000
2.606 1.505 4.256
Co Nd Cd
1 2 1
Cartesian
0.000 0.000 0.000 Co
2.606 1.505 1.064 Nd
7.819 4.515 3.192 Nd
5.213 3.010 2.128 Cd



10.
Nd8Cd3Co2, relaxed, DFT GGA-PBE; density of states at the Fermi level = 15.1 states/eV per cell; magnetization = 0.000 μB/f.u.; E_form = -0.81 eV/f.u.
1.0
6.383 0.301 0.361
-0.138 6.705 -3.139
0.906 0.151 9.016
Nd Cd Co
8 3 2
Cartesian
1.407 4.002 -0.247 Nd
5.743 3.155 6.485 Nd
1.063 1.370 2.880 Nd
6.087 5.787 3.358 Nd
2.924 0.887 6.106 Nd
2.855 4.219 4.546 Nd
4.295 2.938 1.692 Nd
4.226 6.269 0.132 Nd
3.191 0.150 0.181 Cd
-0.113 5.488 -2.569 Cd
-0.025 1.217 -0.570 Cd
4.747 2.086 4.246 Co
2.403 5.071 1.992 Co



11.
NdCdCo, relaxed, DFT GGA-PBE; density of states at the Fermi level = 4.6 states/eV per cell; magnetization = 0.580 μB/f.u.; E_form = -0.60 eV/f.u.
1.0
-3.828 0.195 -0.713
-0.689 -2.663 2.969
-0.366 7.710 4.072
Nd Cd Co
2 2 2
Cartesian
-1.876 3.883 5.807 Nd
-3.006 1.359 0.522 Nd
-3.292 3.925 2.758 Cd
-1.591 1.316 3.571 Cd
-1.350 -0.843 1.689 Co
-3.532 6.085 4.639 Co



12.
Nd2CdCo, relaxed, DFT GGA-PBE; energy above the lowest structure with this stoichiometry = 0.27 eV per formula unit; density of states at the Fermi level = 7.4 states/eV per cell; magnetization = 0.360 μB/f.u.; E_form = -0.49 eV/f.u.
1.0
-2.960 -0.985 2.002
2.378 -1.626 6.148
-0.915 7.212 5.626
Nd Cd Co
4 2 2
Cartesian
-2.397 4.975 5.767 Nd
0.900 -0.374 8.010 Nd
-1.253 1.226 5.614 Nd
-0.244 3.375 8.163 Nd
-2.602 5.591 9.200 Cd
1.104 -0.990 4.577 Cd
-0.849 3.440 3.868 Co
-0.648 1.161 9.909 Co